# Co2SnPb (PBE, optimized geometry)
# * volume: 67.3 Å³/cell
# * total DFT energy (no corrections): -5.0940 eV/atom
# * energy relative to the elements: 0.39 eV/atom
# * theoretical density: 10.9 g/cm³
# * magnetic moment: 1.8 μB/f.u.
data_Co2SnPb
_chemical_formula_sum 'Co2 Sn1 Pb1'
_symmetry_space_group_name_H-M 'P 1'
_symmetry_Int_Tables_number 1
_symmetry_space_group_name_Hall 'P 1'
_cell_length_a 4.5667
_cell_length_b 4.5667
_cell_length_c 4.5667
_cell_angle_alpha 60.00
_cell_angle_beta 60.00
_cell_angle_gamma 60.00
loop_
_atom_site_label
_atom_site_fract_x
_atom_site_fract_y
_atom_site_fract_z
Co1 0.2500 0.2500 0.2500
Co2 0.7500 0.7500 0.7500
Sn1 0.0000 0.0000 0.0000
Pb1 0.5000 0.5000 0.5000

***

# Co2Sn2Pb (PBE, optimized geometry)
# * volume: 184.5 Å³/cell
# * total DFT energy (no corrections): -4.9602 eV/atom
# * energy relative to the elements: 0.22 eV/atom
# * theoretical density: 10.1 g/cm³
# * magnetic moment: 0.4 μB/f.u.
data_Co2Sn2Pb
_chemical_formula_sum 'Co4 Sn4 Pb2'
_symmetry_space_group_name_H-M 'P 1'
_symmetry_Int_Tables_number 1
_symmetry_space_group_name_Hall 'P 1'
_cell_length_a 7.7204
_cell_length_b 7.7204
_cell_length_c 3.0950
_cell_angle_alpha 90.00
_cell_angle_beta 90.00
_cell_angle_gamma 90.00
loop_
_atom_site_label
_atom_site_fract_x
_atom_site_fract_y
_atom_site_fract_z
Pb1 0.0000 0.0000 0.0000
Co1 0.6395 0.1395 0.0000
Pb2 0.5000 0.5000 0.0000
Sn1 0.6501 0.8499 0.5000
Sn2 0.1501 0.6501 0.5000
Co2 0.1395 0.3605 0.0000
Co3 0.3605 0.8605 0.0000
Sn3 0.8499 0.3499 0.5000
Sn4 0.3499 0.1501 0.5000
Co4 0.8605 0.6395 0.0000

***

# CoSnPb (PBE, optimized geometry)
# * volume: 258.2 Å³/cell
# * total DFT energy (no corrections): -4.7833 eV/atom
# * energy relative to the elements: 0.16 eV/atom
# * theoretical density: 9.9 g/cm³
# * magnetic moment: 0.2 μB/f.u.
data_CoSnPb
_chemical_formula_sum 'Co4 Sn4 Pb4'
_symmetry_space_group_name_H-M 'P 1'
_symmetry_Int_Tables_number 1
_symmetry_space_group_name_Hall 'P 1'
_cell_length_a 3.5937
_cell_length_b 5.4539
_cell_length_c 13.1744
_cell_angle_alpha 90.00
_cell_angle_beta 90.00
_cell_angle_gamma 90.00
loop_
_atom_site_label
_atom_site_fract_x
_atom_site_fract_y
_atom_site_fract_z
Sn1 0.7501 0.7063 0.7294
Sn2 0.2501 0.7937 0.2706
Pb1 0.7498 0.5021 0.9633
Pb2 0.2502 0.0021 0.5367
Pb3 0.2498 0.9979 0.0367
Co1 0.2499 0.4979 0.1221
Sn3 0.2499 0.2063 0.7706
Co2 0.7501 0.9979 0.3779
Sn4 0.7499 0.2937 0.2294
Co3 0.2501 0.5021 0.6221
Pb4 0.7502 0.4979 0.4633
Co4 0.7499 0.0021 0.8779

***

# Co2SnPb (PBE, optimized geometry)
# * volume: 149.3 Å³/cell
# * total DFT energy (no corrections): -4.8235 eV/atom
# * energy relative to the elements: 0.66 eV/atom
# * theoretical density: 9.9 g/cm³
# * magnetic moment: 0.0 μB/f.u.
data_Co2SnPb
_chemical_formula_sum 'Co4 Sn2 Pb2'
_symmetry_space_group_name_H-M 'P 1'
_symmetry_Int_Tables_number 1
_symmetry_space_group_name_Hall 'P 1'
_cell_length_a 6.9692
_cell_length_b 6.9692
_cell_length_c 5.8080
_cell_angle_alpha 53.13
_cell_angle_beta 53.13
_cell_angle_gamma 90.00
loop_
_atom_site_label
_atom_site_fract_x
_atom_site_fract_y
_atom_site_fract_z
Co1 0.3750 0.3915 0.7500
Pb1 0.0000 0.0000 0.0000
Sn1 0.5000 0.5000 0.0000
Co2 0.1415 0.6250 0.2500
Co3 0.8750 0.8585 0.7500
Pb2 0.7500 0.2500 0.5000
Co4 0.6085 0.1250 0.2500
Sn2 0.2500 0.7500 0.5000

***

Number 3 is which compound? CoSnPb